Entry 1:
# SrTi2InSe

A relaxed structure of SrTi2InSe (PBE-GGA, the Alexandria database).

Values from the calculation:
The uncorrected formation energy comes out at 0.61 eV per atom. The calculation puts the total energy at -4.126 eV/atom. Its density of states at the Fermi level is 1.69 states/eV per atom. The value obtained for the volume is 32.1 Å³/atom.

Cell lengths 5.3157, 5.3157, 5.6855 Å; angles 90.00, 90.00, 90.00 degrees
Fractional positions:
Sr 0.0000 0.0000 0.0000
Ti 0.0000 0.5000 0.5000
Ti 0.5000 0.0000 0.5000
In 0.5000 0.5000 0.5000
Se 0.5000 0.5000 0.0000

***

Entry 2:
# Rb2CeTc3O12

A relaxed structure of Rb2CeTc3O12 (PBE-GGA, the Alexandria database).

Values from the calculation:
The uncorrected formation energy comes out at -1.74 eV per atom. The calculation puts the total energy at -7.208 eV/atom. Its density of states at the Fermi level is 0.38 states/eV per atom. The value obtained for the volume is 16.4 Å³/atom.

Cell lengths 7.5981, 7.5981, 7.5981 Å; angles 58.01, 58.01, 58.01 degrees
Fractional positions:
Rb 0.1229 0.1229 0.1229
Rb 0.8771 0.8771 0.8771
Ce 0.5000 0.5000 0.5000
Tc 0.0000 0.5000 0.5000
Tc 0.5000 0.0000 0.5000
Tc 0.5000 0.5000 0.0000
O 0.1415 0.5787 0.5787
O 0.1998 0.1998 0.5707
O 0.1998 0.5707 0.1998
O 0.4213 0.4213 0.8585
O 0.4213 0.8585 0.4213
O 0.4293 0.8002 0.8002
O 0.5707 0.1998 0.1998
O 0.5787 0.1415 0.5787
O 0.5787 0.5787 0.1415
O 0.8002 0.4293 0.8002
O 0.8002 0.8002 0.4293
O 0.8585 0.4213 0.4213

***

Entry 3:
# La12V3H5

A relaxed structure of La12V3H5 (PBE-GGA, the Alexandria database).

Values from the calculation:
The calculation puts the total energy at -5.116 eV/atom. Its density of states at the Fermi level is 0.96 states/eV per atom. The value obtained for the volume is 26.6 Å³/atom.

Cell lengths 14.0332, 14.0332, 14.0332 Å; angles 109.47, 109.47, 109.47 degrees
Fractional positions:
La 0.0233 0.2122 0.1165
La 0.0233 0.3111 0.9069
La 0.0931 0.6165 0.4043
La 0.0931 0.9767 0.6889
La 0.0957 0.7122 0.6889
La 0.0957 0.8835 0.4069
La 0.1165 0.0233 0.2122
La 0.1165 0.5931 0.9043
La 0.1889 0.2122 0.5957
La 0.1889 0.4767 0.5931
La 0.2122 0.1165 0.0233
La 0.2122 0.5957 0.1889
La 0.2878 0.3111 0.9043
La 0.2878 0.4767 0.3835
La 0.3111 0.9043 0.2878
La 0.3111 0.9069 0.0233
La 0.3835 0.2878 0.4767
La 0.3835 0.5957 0.9069
La 0.4043 0.0931 0.6165
La 0.4043 0.8111 0.7878
La 0.4069 0.0957 0.8835
La 0.4069 0.8111 0.5233
La 0.4767 0.3835 0.2878
La 0.4767 0.5931 0.1889
La 0.5233 0.4069 0.8111
La 0.5233 0.6165 0.7122
La 0.5931 0.1889 0.4767
La 0.5931 0.9043 0.1165
La 0.5957 0.1889 0.2122
La 0.5957 0.9069 0.3835
La 0.6165 0.4043 0.0931
La 0.6165 0.7122 0.5233
La 0.6889 0.0931 0.9767
La 0.6889 0.0957 0.7122
La 0.7122 0.5233 0.6165
La 0.7122 0.6889 0.0957
La 0.7878 0.4043 0.8111
La 0.7878 0.8835 0.9767
La 0.8111 0.5233 0.4069
La 0.8111 0.7878 0.4043
La 0.8835 0.4069 0.0957
La 0.8835 0.9767 0.7878
La 0.9043 0.1165 0.5931
La 0.9043 0.2878 0.3111
La 0.9069 0.0233 0.3111
La 0.9069 0.3835 0.5957
La 0.9767 0.6889 0.0931
La 0.9767 0.7878 0.8835
V 0.1250 0.2500 0.3750
V 0.1250 0.3750 0.7500
V 0.2500 0.3750 0.1250
V 0.2500 0.8750 0.6250
V 0.3750 0.1250 0.2500
V 0.3750 0.7500 0.1250
V 0.6250 0.2500 0.8750
V 0.6250 0.8750 0.7500
V 0.7500 0.1250 0.3750
V 0.7500 0.6250 0.8750
V 0.8750 0.6250 0.2500
V 0.8750 0.7500 0.6250
H 0.0000 0.0000 0.0000
H 0.0000 0.0000 0.5000
H 0.0000 0.5000 0.0000
H 0.0000 0.5000 0.5000
H 0.1250 0.7500 0.8750
H 0.1250 0.8750 0.2500
H 0.2500 0.1250 0.8750
H 0.2500 0.6250 0.3750
H 0.3750 0.2500 0.6250
H 0.3750 0.6250 0.7500
H 0.5000 0.0000 0.0000
H 0.5000 0.0000 0.5000
H 0.5000 0.5000 0.0000
H 0.5000 0.5000 0.5000
H 0.6250 0.3750 0.2500
H 0.6250 0.7500 0.3750
H 0.7500 0.3750 0.6250
H 0.7500 0.8750 0.1250
H 0.8750 0.1250 0.7500
H 0.8750 0.2500 0.1250

***

Entry 4:
# Y2HgSe

A relaxed structure of Y2HgSe (PBE-GGA, the Alexandria database).

Values from the calculation:
The uncorrected formation energy comes out at -0.10 eV per atom. The calculation puts the total energy at -4.274 eV/atom. The excess energy over the best structure of this formula in the dataset comes out at 1.027 eV per atom. Its density of states at the Fermi level is 1.04 states/eV per atom. The value obtained for the volume is 26.0 Å³/atom.

Cell lengths 5.2769, 5.2769, 5.2769 Å; angles 60.00, 60.00, 60.00 degrees
Fractional positions:
Y 0.0000 0.0000 0.0000
Y 0.2500 0.2500 0.2500
Hg 0.5000 0.5000 0.5000
Se 0.7500 0.7500 0.7500

***

Entry 5:
# GeTe2RhPb

A relaxed structure of GeTe2RhPb (PBE-GGA, the Alexandria database).

Values from the calculation:
The uncorrected formation energy comes out at 0.94 eV per atom. The calculation puts the total energy at -3.454 eV/atom. Its density of states at the Fermi level is 0.98 states/eV per atom. The value obtained for the volume is 30.5 Å³/atom.

Cell lengths 5.3345, 5.3345, 5.3584 Å; angles 90.00, 90.00, 90.00 degrees
Fractional positions:
Ge 0.0000 0.0000 0.0000
Te 0.0000 0.5000 0.0000
Te 0.5000 0.0000 0.0000
Rh 0.5000 0.5000 0.5000
Pb 0.0000 0.0000 0.5000

***

Entry 6:
# Mg2CrP

A relaxed structure of Mg2CrP (PBE-GGA, the Alexandria database).

Values from the calculation:
The calculation puts the total energy at -4.238 eV/atom. Its density of states at the Fermi level is 0.67 states/eV per atom. The value obtained for the volume is 15.9 Å³/atom.

Cell lengths 2.7579, 2.7579, 8.4716 Å; angles 90.00, 90.00, 100.09 degrees
Fractional positions:
Mg 0.0000 0.0000 0.2455
Mg 0.0000 0.0000 0.7545
Cr 0.5000 0.5000 0.0000
P 0.5000 0.5000 0.5000